# 1
Material: Rb3NaTl3Br8
Method: DFT, GGA-PBE
State: optimized geometry

Lattice parameters (Å, degrees): 9.7087 9.6960 9.2914 121.28 90.00 120.04
Positions (direct):
Tl1 0.0000 0.0000 0.0000
Tl2 0.0000 0.5000 0.0000
Tl3 0.5000 0.5000 0.0000
Br1 0.2123 0.9856 0.2565
Br2 0.7547 0.5093 0.7628
Br3 0.7733 0.9856 0.2565
Br4 0.2453 0.4907 0.2372
Br5 0.7723 0.5447 0.2572
Br6 0.7877 0.0144 0.7435
Br7 0.2267 0.0144 0.7435
Br8 0.2277 0.4553 0.7428
Rb1 0.5000 0.0000 0.5000
Rb2 0.5000 0.5000 0.5000
Rb3 0.0000 0.5000 0.5000
Na1 0.0000 0.0000 0.5000

Summary:
N(E_F): 1.07 states/eV/atom
ΔE_f (raw): -1.2117 eV per atom

=====

# 2
Material: ScPaZnFe
Method: DFT, GGA-PBE
State: optimized geometry

Lattice parameters (Å, degrees): 4.7266 4.7266 4.7266 60.00 60.00 60.00
Site moments in Bohr magnetons follow the coordinates.
Positions (direct):
Zn1 0.5000 0.5000 0.5000  -0.01
Fe1 0.0000 0.0000 0.0000  0.72
Pa1 0.7500 0.7500 0.7500  -0.27
Sc1 0.2500 0.2500 0.2500  -0.10

Summary:
N(E_F): 1.17 states/eV/atom
ΔE_f: -0.013 eV per atom

=====

# 3
Material: NaBe2TlIn
Method: DFT, GGA-PBE
State: optimized geometry

Lattice parameters (Å, degrees): 4.9336 5.4702 4.9336 90.00 90.00 90.00
Positions (direct):
Tl1 0.5000 0.5000 0.5000
Be1 0.0000 0.0000 0.5000
Be2 0.5000 0.0000 0.0000
Na1 0.0000 0.0000 0.0000
In1 0.0000 0.5000 0.0000

Summary:
N(E_F): 0.67 states/eV/atom
ΔE_f: 1.270 eV per atom